No. 1
TbPr3Zn3, optimized geometry, DFT GGA-PBE; energy of formation = -0.188 eV per atom; calculated density = 6.7 Mg/m³; SG = No. 65; crystal system = orthorhombic
1.0
7.089 1.761 0.491
-1.581 7.131 0.491
-0.356 -0.574 7.201
Tb Pr Zn
2 6 6
Cartesian
4.180 6.750 0.746
0.972 1.569 7.438
3.983 6.431 4.343
0.467 5.465 4.092
4.685 2.853 4.092
0.661 5.743 0.491
4.847 3.150 0.491
1.169 1.887 3.840
5.421 8.752 2.736
-1.060 3.130 5.707
3.275 0.446 5.707
6.212 5.188 2.477
1.877 7.873 2.477
-0.269 -0.434 5.448

***

No. 2
CuNiSe2, optimized geometry, DFT GGA-PBE; raw formation energy = 0.2652 eV per atom; calculated density = 7.5 Mg/m³; SG = No. 225; crystal system = cubic
1.0
0.000 3.142 3.142
3.142 0.000 3.142
3.142 3.142 0.000
Ni Cu Se
1 1 2
Cartesian
0.000 0.000 0.000
3.142 3.142 3.142
1.571 1.571 1.571
4.714 4.714 4.714